Mn2CrFe5Tc2: optimized geometry, PBE.

The structure in POSCAR format:
```
Mn2CrFe5Tc2
1.0
8.012 0.000 0.000
0.000 8.012 0.000
0.000 0.000 3.782
Mn Cr Fe Tc
4 2 10 4
Direct
0.127 0.373 0.000 Mn
0.373 0.873 0.000 Mn
0.627 0.127 0.000 Mn
0.873 0.627 0.000 Mn
0.000 0.000 0.000 Cr
0.500 0.500 0.000 Cr
0.000 0.500 0.500 Fe
0.070 0.201 0.500 Fe
0.201 0.930 0.500 Fe
0.299 0.430 0.500 Fe
0.430 0.701 0.500 Fe
0.500 0.000 0.500 Fe
0.570 0.299 0.500 Fe
0.701 0.570 0.500 Fe
0.799 0.070 0.500 Fe
0.930 0.799 0.500 Fe
0.169 0.669 0.000 Tc
0.331 0.169 0.000 Tc
0.669 0.831 0.000 Tc
0.831 0.331 0.000 Tc
```

## Properties
mass density	8.715	g cm⁻³
energy of formation from the pure elements	2.15	eV per formula unit

TiMnCrFe: optimized geometry, PBE.

The structure in POSCAR format:
```
TiMnCrFe
1.0
0.000 2.886 2.886
2.886 0.000 2.886
2.886 2.886 0.000
Ti Mn Cr Fe
1 1 1 1
Direct
0.000 0.000 0.000 Ti
0.750 0.750 0.750 Mn
0.500 0.500 0.500 Cr
0.250 0.250 0.250 Fe
```

## Properties
mass density	7.276	g cm⁻³
energy of formation from the pure elements	-0.39	eV per formula unit

TiMn2CrFe: optimized geometry, PBE.

The structure in POSCAR format:
```
TiMn2CrFe
1.0
4.202 0.000 0.000
0.000 4.202 0.000
0.000 0.000 4.259
Ti Mn Cr Fe
1 2 1 1
Direct
0.000 0.000 0.000 Ti
0.000 0.500 0.000 Mn
0.500 0.000 0.000 Mn
0.500 0.500 0.500 Cr
0.000 0.000 0.500 Fe
```

## Properties
mass density	5.865	g cm⁻³
energy of formation from the pure elements	7.34	eV per formula unit

MnVCrFe: optimized geometry, PBE.

The structure in POSCAR format:
```
MnVCrFe
1.0
2.861 0.000 0.000
0.000 2.861 0.000
0.000 0.000 5.659
Mn V Cr Fe
1 1 1 1
Direct
0.000 0.000 0.000 Mn
0.500 0.500 0.260 V
0.500 0.500 0.764 Cr
0.000 0.000 0.503 Fe
```

## Properties
mass density	7.661	g cm⁻³
energy of formation from the pure elements	-0.13	eV per formula unit

MnZn2CrFe: optimized geometry, PBE.

The structure in POSCAR format:
```
MnZn2CrFe
1.0
4.545 0.000 0.000
0.000 4.545 0.000
0.000 0.000 3.978
Mn Zn Cr Fe
1 2 1 1
Direct
0.000 0.000 0.000 Mn
0.000 0.500 0.500 Zn
0.500 0.000 0.500 Zn
0.500 0.500 0.500 Cr
0.500 0.500 0.000 Fe
```

## Properties
mass density	5.932	g cm⁻³
energy of formation from the pure elements	7.26	eV per formula unit

MnZnCrFe: optimized geometry, PBE.

The structure in POSCAR format:
```
MnZnCrFe
1.0
0.000 2.863 2.863
2.863 0.000 2.863
2.863 2.863 0.000
Mn Zn Cr Fe
1 1 1 1
Direct
0.000 0.000 0.000 Mn
0.250 0.250 0.250 Zn
0.750 0.750 0.750 Cr
0.500 0.500 0.500 Fe
```

## Properties
mass density	8.075	g cm⁻³
energy of formation from the pure elements	0.58	eV per formula unit

Cr2FeMo: optimized geometry, PBE.

The structure in POSCAR format:
```
Cr2FeMo
1.0
0.000 2.933 2.933
2.933 0.000 2.933
2.933 2.933 0.000
Cr Fe Mo
2 1 1
Direct
0.000 0.000 0.000 Cr
0.250 0.250 0.250 Cr
0.500 0.500 0.500 Fe
0.750 0.750 0.750 Mo
```

## Properties
mass density	8.414	g cm⁻³
energy above the lowest structure with this stoichiometry	0.048	eV/atom
energy of formation from the pure elements	0.61	eV per formula unit

Cr2FeMo: optimized geometry, PBE.

The structure in POSCAR format:
```
Cr2FeMo
1.0
-1.821 1.821 3.814
1.821 -1.821 3.814
1.821 1.821 -3.814
Cr Fe Mo
2 1 1
Direct
0.000 0.000 0.000 Cr
0.750 0.250 0.500 Cr
0.250 0.750 0.500 Fe
0.500 0.500 0.000 Mo
```

## Properties
mass density	8.397	g cm⁻³
energy above the lowest structure with this stoichiometry	0.186	eV/atom
energy of formation from the pure elements	1.16	eV per formula unit

Cr2FeMo: optimized geometry, PBE.

The structure in POSCAR format:
```
Cr2FeMo
1.0
-3.298 3.298 2.428
3.298 -3.298 2.428
3.298 3.298 -2.428
Cr Fe Mo
4 2 2
Direct
0.099 0.125 0.474 Cr
0.375 0.901 0.026 Cr
0.651 0.625 0.526 Cr
0.875 0.349 0.974 Cr
0.000 0.000 0.000 Fe
0.750 0.250 0.500 Fe
0.250 0.750 0.500 Mo
0.500 0.500 0.000 Mo
```

## Properties
mass density	8.040	g cm⁻³
energy above the lowest structure with this stoichiometry	0.613	eV/atom
energy of formation from the pure elements	2.87	eV per formula unit

Cr2FeMo: optimized geometry, PBE.

The structure in POSCAR format:
```
Cr2FeMo
1.0
1.301 0.751 8.688
-1.301 0.751 8.688
0.000 -1.502 8.688
Cr Fe Mo
2 1 1
Direct
0.000 0.000 0.000 Cr
0.252 0.252 0.252 Cr
0.740 0.740 0.740 Fe
0.494 0.494 0.494 Mo
```

## Properties
mass density	8.336	g cm⁻³
energy above the lowest structure with this stoichiometry	0.263	eV/atom
energy of formation from the pure elements	1.47	eV per formula unit

Cr2FeMo: optimized geometry, PBE.

The structure in POSCAR format:
```
Cr2FeMo
1.0
2.554 0.000 0.000
0.000 2.554 0.000
0.000 0.000 7.689
Cr Fe Mo
2 1 1
Direct
0.000 0.000 0.214 Cr
0.000 0.000 0.786 Cr
0.500 0.500 0.000 Fe
0.500 0.500 0.500 Mo
```

## Properties
mass density	8.467	g cm⁻³
energy above the lowest structure with this stoichiometry	0.095	eV/atom
energy of formation from the pure elements	0.80	eV per formula unit

Cr3FeMo2: optimized geometry, PBE.

The structure in POSCAR format:
```
Cr3FeMo2
1.0
2.366 1.366 3.983
-2.366 1.366 3.983
0.000 -2.732 3.983
Cr Fe Mo
3 1 2
Direct
0.000 0.500 0.500 Cr
0.500 0.000 0.500 Cr
0.500 0.500 0.000 Cr
0.500 0.500 0.500 Fe
0.125 0.125 0.125 Mo
0.875 0.875 0.875 Mo
```

## Properties
mass density	8.682	g cm⁻³
energy of formation from the pure elements	0.30	eV per formula unit